Entry 1:
A relaxed structure of CaY3In2, computed with PBE.

Values from the calculation:
The distance to the lowest polymorph of the same formula comes out at 164 meV per atom. The calculation puts the energy of formation at -235 meV per atom. As for the density of states at the Fermi level: 26.51 states/eV per cell. The magnetization comes out at 1.37 μB per cell.

Cell lengths 16.1823, 5.4917, 9.1057 Å; angles 90.00, 116.29, 90.00 degrees
With the nearest neighbours (Å) after each atom.
Space group C2/m (No. 12)
One atom of each set of equivalent atoms:
Ca 0.1368 0.0000 0.1907 x4  5 In 3.27-3.50, 4 Y 3.58-3.65
Y 0.0595 0.0000 0.7155 x4  3 In 3.27-3.41, 3 Y 3.51-3.52, 1 Ca 3.64
Y 0.1164 0.5000 0.5377 x4  4 In 3.00-3.33
Y 0.1908 0.5000 0.9956 x4  2 In 3.10-3.27, 2 Y 3.33
In 0.0227 0.5000 0.1708 x4  1 In 2.86, 2 Y 3.00-3.10
In 0.2262 0.0000 0.6049 x4  5 Y 3.18-3.33, 3 Ca 3.39-3.50

Entry 2:
A relaxed structure of Rb2Ge2Bi, computed with PBE.

Values from the calculation:
The distance to the lowest polymorph of the same formula comes out at 58 meV per atom. The calculation puts the energy of formation at -23 meV per atom. As for the density of states at the Fermi level: 8.40 states/eV per cell. The magnetization comes out at 0.00 μB per cell.

Cell lengths 8.0994, 14.2848, 8.3720 Å; angles 90.00, 113.81, 90.00 degrees
With the nearest neighbours (Å) after each atom.
Space group C2/m (No. 12)
One atom of each set of equivalent atoms:
Rb 0.2121 0.1409 0.2777 x8  4 Ge 3.64-4.03, 2 Bi 3.90-3.96, 1 Rb 4.02
Ge 0.1580 0.5000 0.3154 x4  1 Ge 2.42
Ge 0.1975 0.0000 0.8877 x4  1 Ge 2.42
Bi 0.0000 0.3681 0.0000 x4  4 Ge 2.93-3.07

Entry 3:
A relaxed structure of RbTlNi3, computed with PBE.

Values from the calculation:
The distance to the lowest polymorph of the same formula comes out at 847 meV per atom. The calculation puts the energy of formation at 1880 meV per atom. As for the density of states at the Fermi level: 1.07 states/eV per cell. The magnetization comes out at 0.00 μB per cell.

Cell lengths 4.7680, 4.7680, 4.7680 Å; angles 90.00, 90.00, 90.00 degrees
With the nearest neighbours (Å) after each atom.
Space group Pm-3m (No. 221)
One atom of each set of equivalent atoms:
Rb 0.0000 0.0000 0.0000 x1  6 Ni 2.38
Tl 0.5000 0.5000 0.5000 x1  12 Ni 3.37
Ni 0.0000 0.0000 0.5000 x3  2 Rb 2.38

Entry 4:
A relaxed structure of TbGdSnRu, computed with PBE.

Values from the calculation:
The calculation puts the energy of formation at -389 meV per atom. As for the density of states at the Fermi level: 10.45 states/eV per cell. The magnetization comes out at 28.00 μB per cell.

Cell lengths 7.2203, 7.2203, 7.2203 Å; angles 90.00, 90.00, 90.00 degrees
With the nearest neighbours (Å) after each atom.
Space group F-43m (No. 216)
One atom of each set of equivalent atoms:
Tb 0.0000 0.0000 0.0000 x4  4 Sn 3.13, 4 Ru 3.13
Gd 0.0000 0.0000 0.5000 x4  4 Ru 3.13, 4 Sn 3.13
Sn 0.2500 0.2500 0.7500 x4  4 Gd 3.13, 4 Tb 3.13
Ru 0.2500 0.2500 0.2500 x4  4 Tb 3.13, 4 Gd 3.13

Entry 5:
A relaxed structure of Ta2Be16Pd, computed with PBE.

Values from the calculation:
The calculation puts the energy of formation at -235 meV per atom. As for the density of states at the Fermi level: 12.51 states/eV per cell. The magnetization comes out at 0.00 μB per cell.

Cell lengths 7.4909, 7.4909, 10.8627 Å; angles 90.00, 90.00, 120.00 degrees
With the nearest neighbours (Å) after each atom.
Space group R3m (No. 160, hexagonal axes)
One atom of each set of equivalent atoms:
Ta 0.0000 0.0000 0.0000 x3  10 Be 2.49-2.65
Ta 0.0000 0.0000 0.3118 x3  15 Be 2.62-2.90, 1 Pd 2.75
Be 0.0000 0.0000 0.7705 x3  6 Be 2.20-2.31, 1 Pd 2.23
Be 0.9996 0.2982 0.6585 x18  8 Be 2.13-2.28
Be 0.0102 0.5051 0.8153 x9  8 Be 2.13-2.28
Be 0.1693 0.3387 0.8370 x9  9 Be 2.13-2.31
Be 0.1702 0.3405 0.4935 x9  9 Be 2.13-2.22, 1 Pd 2.34
Pd 0.0000 0.0000 0.5653 x3  13 Be 2.23-2.45

Entry 6:
A relaxed structure of SiAg2Cl, computed with PBE.

Values from the calculation:
As for the formation energy (no corrections): 187 meV per atom. The distance to the lowest polymorph of the same formula comes out at 168 meV per atom. As for the density of states at the Fermi level: 1.86 states/eV per cell. The magnetization comes out at 0.00 μB per cell.

Cell lengths 3.3165, 3.3165, 7.1133 Å; angles 90.00, 90.00, 90.00 degrees
With the nearest neighbours (Å) after each atom.
Space group P4mm (No. 99)
One atom of each set of equivalent atoms:
Si 0.0000 0.0000 0.0000 x1  4 Ag 2.69
Ag 0.0000 0.0000 0.4347 x1  4 Cl 2.82, 4 Ag 2.94, 1 Si 3.09
Ag 0.5000 0.5000 0.1854 x1  4 Si 2.69, 4 Ag 2.94
Cl 0.5000 0.5000 0.6557 x1  4 Ag 2.82

Entry 7:
A relaxed structure of Tb2CeSm9, computed with PBE.

Values from the calculation:
The calculation puts the energy of formation at 37 meV per atom. As for the density of states at the Fermi level: 20.75 states/eV per cell. The magnetization comes out at 0.91 μB per cell.

Cell lengths 5.1023, 5.1023, 15.3109 Å; angles 90.00, 90.00, 90.00 degrees
With the nearest neighbours (Å) after each atom.
Space group P4/mmm (No. 123)
One atom of each set of equivalent atoms:
Tb 0.0000 0.0000 0.1673 x2  12 Sm 3.61-3.62
Ce 0.0000 0.0000 0.5000 x1  12 Sm 3.59-3.61
Sm 0.0000 0.5000 0.0000 x2  8 Sm 3.60-3.61, 4 Tb 3.62
Sm 0.0000 0.5000 0.3350 x4  2 Ce 3.59, 8 Sm 3.59-3.64, 2 Tb 3.62
Sm 0.5000 0.5000 0.1658 x2  8 Sm 3.60-3.64, 4 Tb 3.61
Sm 0.5000 0.5000 0.5000 x1  8 Sm 3.59, 4 Ce 3.61

Entry 8:
A relaxed structure of LaAl2Re, computed with PBE.

Values from the calculation:
The distance to the lowest polymorph of the same formula comes out at 525 meV per atom. The calculation puts the energy of formation at 353 meV per atom. As for the density of states at the Fermi level: 6.99 states/eV per cell. The magnetization comes out at 0.00 μB per cell.

Cell lengths 5.8329, 9.2806, 2.8752 Å; angles 90.00, 90.00, 90.00 degrees
With the nearest neighbours (Å) after each atom.
Space group Cmmm (No. 65)
One atom of each set of equivalent atoms:
La 0.0000 0.0000 0.0000 x2  2 La 2.88, 2 Re 2.92, 8 Al 3.09
Al 0.2500 0.2500 0.5000 x4  4 Al 2.88-2.92, 4 La 3.09, 4 Re 3.09
Re 0.0000 0.5000 0.0000 x2  2 Re 2.88, 2 La 2.92, 8 Al 3.09